Cs2TlSnHg: optimized geometry, PBE-GGA.

Formation enthalpy at 0 K, eV per atom: -0.0239
Volume, A^3/atom: 66.2
Magnetization, μB/atom: 0.00
Space-group type: No. 123

Unit cell a=7.5985 b=7.5985 c=5.7323 alpha=90.00 beta=90.00 gamma=90.00
Sites, in units of the cell vectors:
Cs 0.0000 0.5000 0.0000
Cs 0.5000 0.0000 0.0000
Tl 0.0000 0.0000 0.5000
Sn 0.0000 0.0000 0.0000
Hg 0.5000 0.5000 0.5000

---

BaSnW2Se: optimized geometry, PBE-GGA.

Volume, A^3/atom: 33.8
Magnetization, μB/atom: 1.25
Formation energy from raw total energies, eV per atom: 2.83
Space-group type: No. 123

Unit cell a=5.3714 b=5.3714 c=5.8561 alpha=90.00 beta=90.00 gamma=90.00
Sites, in units of the cell vectors:
Ba 0.0000 0.0000 0.0000
Sn 0.5000 0.5000 0.5000
W 0.0000 0.5000 0.0000
W 0.5000 0.0000 0.0000
Se 0.0000 0.0000 0.5000

---

Er12Ni6Pd: optimized geometry, PBE-GGA.

Formation enthalpy at 0 K, eV per atom: -0.2488
Volume, A^3/atom: 25.3
Magnetization, μB/atom: 0.00
Energy above the lowest structure with this stoichiometry, meV per atom: 134
Space-group type: No. 148

Unit cell a=7.9844 b=7.9844 c=7.9844 alpha=100.42 beta=100.42 gamma=100.42
Sites, in units of the cell vectors:
Er 0.0570 0.6705 0.9126
Er 0.0874 0.9430 0.3295
Er 0.1778 0.4124 0.5682
Er 0.3295 0.0874 0.9430
Er 0.4124 0.5682 0.1778
Er 0.4318 0.8222 0.5876
Er 0.5682 0.1778 0.4124
Er 0.5876 0.4318 0.8222
Er 0.6705 0.9126 0.0570
Er 0.8222 0.5876 0.4318
Er 0.9126 0.0570 0.6705
Er 0.9430 0.3295 0.0874
Ni 0.1360 0.6166 0.3141
Ni 0.3141 0.1360 0.6166
Ni 0.3834 0.6859 0.8640
Ni 0.6166 0.3141 0.1360
Ni 0.6859 0.8640 0.3834
Ni 0.8640 0.3834 0.6859
Pd 0.0000 0.0000 0.0000